1.
This record from the Alexandria database describes a relaxed Rb2TlGaRh crystal. The functional is GGA-PBE.

Structure (extended XYZ):
```
5
Lattice="6.454 0.000 0.000 0.000 6.454 0.000 0.000 0.000 4.741" Properties=species:S:1:pos:R:3 pbc="T T T"
Rb 0.000 3.227 0.000
Rb 3.227 0.000 0.000
Tl 0.000 0.000 2.370
Ga 3.227 3.227 2.370
Rh 3.227 3.227 0.000
```


2.
This record from the Alexandria database describes a relaxed LaTl2Cd crystal. The functional is GGA-PBE.

Structure (extended XYZ):
```
4
Lattice="4.880 0.000 0.000 0.000 4.880 0.000 0.000 0.000 4.758" Properties=species:S:1:pos:R:3 pbc="T T T"
La 0.000 0.000 0.000
Tl 0.000 2.440 2.379
Tl 2.440 0.000 2.379
Cd 2.440 2.440 0.000
```


no.,energy relative to the elements (kJ/mol of atoms)
1,25.5
2,-31.0